## CaLaPBr (PBE-GGA)

Data for an optimized crystal structure of CaLaPBr.

Summary:
crystal system	trigonal
energy relative to the elements, uncorrected	-1.507	eV per atom

a b c (Å): 4.1741 4.1741 22.5581
angles (deg): 90.00 90.00 120.00
Space group R3m (No. 160, hexagonal axes)
Inequivalent atoms, fractional coordinates:
Ca  0.0000  0.0000  0.0000
La  0.0000  0.0000  0.8038
P  0.0000  0.0000  0.3981
Br  0.0000  0.0000  0.5729

---

## Nd2Nb2Ni15 (PBE-GGA)

Data for an optimized crystal structure of Nd2Nb2Ni15.

Summary:
crystal system	trigonal
E_form	-0.22	eV/atom

a b c (Å): 8.4543 8.4543 12.5222
angles (deg): 90.00 90.00 120.00
Space group R-3m (No. 166, hexagonal axes)
Inequivalent atoms, fractional coordinates:
Nd  0.0000  0.0000  0.1511
Nb  0.0000  0.0000  0.3992
Ni  0.0000  0.2976  0.5000
Ni  0.0000  0.5000  0.0000
Ni  0.0004  0.5002  0.3438

---

## In2NiCl (PBE-GGA)

Data for an optimized crystal structure of In2NiCl.

Summary:
crystal system	orthorhombic
energy above the lowest structure with this stoichiometry	0.1792	eV per atom
energy relative to the elements, uncorrected	-0.077	eV per atom

a b c (Å): 3.0762 5.3480 10.3174
angles (deg): 90.00 90.00 90.00
Space group Imm2 (No. 44)
Inequivalent atoms, fractional coordinates:
In  0.0000  0.0000  0.0000
In  0.0000  0.5000  0.2136
Ni  0.0000  0.5000  0.7067
Cl  0.0000  0.0000  0.3896

---

## DyTlCuCl5 (PBE-GGA)

Data for an optimized crystal structure of DyTlCuCl5.

Summary:
crystal system	monoclinic
energy relative to the elements, uncorrected	-1.500	eV per atom

a b c (Å): 8.8148 11.8642 9.9966
angles (deg): 90.00 113.41 90.00
Space group C2/c (No. 15)
Inequivalent atoms, fractional coordinates:
Dy  0.0000  0.0000  0.0000
Tl  0.0000  0.3508  0.2500
Cu  0.0000  0.3082  0.7500
Cl  0.0000  0.0764  0.2500
Cl  0.1051  0.2026  0.6107
Cl  0.1905  0.4320  0.9227

---

## Sr2RuN2 (PBE-GGA)

Data for an optimized crystal structure of Sr2RuN2.

Summary:
crystal system	tetragonal
energy relative to the elements, uncorrected	-0.456	eV per atom

a b c (Å): 3.9299 3.9299 12.6795
angles (deg): 90.00 90.00 90.00
Space group I4/mmm (No. 139)
Inequivalent atoms, fractional coordinates:
Sr  0.0000  0.0000  0.1418
Ru  0.0000  0.0000  0.5000
N  0.0000  0.0000  0.3555

---

## TbYHg (PBE-GGA)

Data for an optimized crystal structure of TbYHg.

Summary:
crystal system	orthorhombic
energy above the lowest structure with this stoichiometry	0.0000	eV per atom
E_form	-0.38	eV/atom

a b c (Å): 7.0920 5.1361 9.2486
angles (deg): 90.00 90.00 90.00
Space group Pnma (No. 62)
Inequivalent atoms, fractional coordinates:
Tb  0.1706  0.2500  0.0758
Y  0.0154  0.2500  0.6949
Hg  0.2379  0.2500  0.4000

---

## InAu6 (PBE-GGA)

Data for an optimized crystal structure of InAu6.

Summary:
crystal system	cubic
energy above the lowest structure with this stoichiometry	0.4836	eV per atom
E_form	0.48	eV/atom

a b c (Å): 7.5261 7.5261 7.5261
angles (deg): 90.00 90.00 90.00
Space group Im-3m (No. 229)
Inequivalent atoms, fractional coordinates:
In  0.0000  0.0000  0.0000
Au  0.0000  0.2500  0.5000

---

## SrSmSn2 (PBE-GGA)

Data for an optimized crystal structure of SrSmSn2.

Summary:
crystal system	tetragonal
E_form	-0.55	eV/atom

a b c (Å): 5.8033 5.8033 3.6139
angles (deg): 90.00 90.00 90.00
Space group P4/mmm (No. 123)
Inequivalent atoms, fractional coordinates:
Sr  0.0000  0.0000  0.0000
Sm  0.5000  0.5000  0.0000
Sn  0.0000  0.5000  0.5000

---

Per-record energy, eV/atom: -5.0102, -6.3469, -3.3533, -4.0370, -6.3145, -4.1774, -2.7198, -4.1538
Per-record Fermi-level density of states, states/eV/f.u.: 1.42, 28.87, 2.70, 0.00, 1.65, 1.11, 1.45, 3.07